DFT (PBE) results for BaSn3C after structural relaxation.

## Properties
- Energy relative to the lowest polymorph listed for this composition: 0.0000 eV/atom
- Space-group type: Pm-3m (221)

```
5
Lattice="-4.352 -0.699 -2.550 2.427 -3.006 -3.318 -1.050 -4.051 2.902" Properties=species:S:1:pos:R:3 pbc="T T T"
C 0.000 0.000 0.000
Ba -1.487 -3.878 -1.483
Sn 1.214 -1.503 -1.659
Sn -0.525 -2.025 1.451
Sn -2.176 -0.350 -1.275
```

DFT (PBE) results for BaSnC2 after structural relaxation.

## Properties
- Space-group type: I-42d (122)

```
8
Lattice="-1.129 3.761 -3.556 -5.009 0.121 1.719 -1.509 6.412 3.316" Properties=species:S:1:pos:R:3 pbc="T T T"
C -1.548 3.433 -0.672
C -3.810 2.685 0.952
C -4.148 6.282 2.043
C -5.789 8.189 0.634
Ba 0.000 0.000 0.000
Ba -2.854 6.057 -0.579
Sn -3.069 1.941 -0.918
Sn -4.794 4.237 2.058
```

DFT (PBE) results for BaSn3C after structural relaxation.

## Properties
- Energy relative to the lowest polymorph listed for this composition: 1.7595 eV/atom
- Space-group type: Pm-3m (221)

```
5
Lattice="-5.470 -3.036 1.220 3.263 -5.236 1.600 0.241 1.998 6.048" Properties=species:S:1:pos:R:3 pbc="T T T"
C -0.983 -3.137 4.434
Ba 0.000 0.000 0.000
Sn 1.631 -2.618 0.800
Sn 0.120 0.999 3.024
Sn -2.735 -1.518 0.610
```

DFT (PBE) results for Ba2SnC after structural relaxation.

## Properties
- Energy relative to the lowest polymorph listed for this composition: 0.1637 eV/atom
- Space-group type: Fm-3m (225)

```
4
Lattice="0.000 4.013 4.013 4.013 0.000 4.013 4.013 4.013 0.000" Properties=species:S:1:pos:R:3 pbc="T T T"
C 0.000 0.000 0.000
Ba 2.006 2.006 2.006
Ba 6.019 6.019 6.019
Sn 4.013 4.013 4.013
```

no.,final energy (eV/cell),theoretical density (g cm⁻³),total magnetization (μB/atom)
1,-20.407,6.36,0.00
2,-38.992,5.22,0.00
3,-11.609,3.24,0.07
4,-13.983,5.21,0.00